VASP calculation (GGA-PBE) on an optimized crystal structure of Rb2H2PbCl4.

Values from the calculation:
SG: I4/mmm
Uncorrected energy (eV per atom): -3.1913

Lattice parameters (Å, degrees): 6.9526 6.9526 6.9526 105.77 111.35 111.35
Element x y z (fractional)
Rb: 0.5000 0.7500 0.2500
Rb: 0.5000 0.2500 0.7500
H: 0.0000 0.7945 0.7945
H: 0.0000 0.2055 0.2055
Pb: 0.0000 0.0000 0.0000
Cl: 0.0000 0.7538 0.2462
Cl: 0.5076 0.7538 0.7538
Cl: 0.0000 0.2462 0.7538
Cl: 0.4924 0.2462 0.2462